Record 1
This record from Alexandria via LeMat-Bulk describes an optimized crystal structure of Tl2BiRuAu. The functional is GGA-PBE.

Structure (CIF):
```
data_Tl2BiRuAu
_chemical_formula_sum 'Tl2 Bi1 Ru1 Au1'
_symmetry_space_group_name_H-M 'P 4/m m m'
_symmetry_Int_Tables_number 123
_symmetry_space_group_name_Hall '-P 4 2'
_cell_length_a 5.311
_cell_length_b 5.311
_cell_length_c 5.152
_cell_angle_alpha 90.00
_cell_angle_beta 90.00
_cell_angle_gamma 90.00
loop_
_atom_site_label
_atom_site_fract_x
_atom_site_fract_y
_atom_site_fract_z
Tl1 0.000 0.500 0.000
Bi1 0.000 0.000 0.500
Ru1 0.000 0.000 0.000
Au1 0.500 0.500 0.500
```

Crystal system: tetragonal
Energy of formation from the pure elements in eV/atom: 0.33
Total moment in Bohr magnetons per cell: 0.000
Electronic total energy in eV per atom: -3.91
ρ in g/cm³: 10.46



Record 2
This record from Alexandria via LeMat-Bulk describes an optimized crystal structure of VBi2RuAu. The functional is GGA-PBE.

Structure (CIF):
```
data_VBi2RuAu
_chemical_formula_sum 'V1 Bi2 Ru1 Au1'
_symmetry_space_group_name_H-M 'P 4/m m m'
_symmetry_Int_Tables_number 123
_symmetry_space_group_name_Hall '-P 4 2'
_cell_length_a 5.411
_cell_length_b 5.411
_cell_length_c 4.774
_cell_angle_alpha 90.00
_cell_angle_beta 90.00
_cell_angle_gamma 90.00
loop_
_atom_site_label
_atom_site_fract_x
_atom_site_fract_y
_atom_site_fract_z
V1 0.000 0.000 0.000
Bi1 0.000 0.500 0.500
Ru1 0.500 0.500 0.000
Au1 0.000 0.000 0.500
```

Crystal system: tetragonal
Energy of formation from the pure elements in eV/atom: 1.64
Total moment in Bohr magnetons per cell: 0.531
Electronic total energy in eV per atom: -4.25
ρ in g/cm³: 9.11